1.
A plane-wave DFT calculation with PBE-GGA was carried out for YTcNiBi after structural relaxation.

Cell lengths 4.749, 4.749, 4.749 Å; angles 60.00, 60.00, 60.00 degrees
Fractional positions:
1 Bi 0.000 0.000 0.000
2 Ni 0.750 0.750 0.750
3 Tc 0.250 0.250 0.250
4 Y 0.500 0.500 0.500

symmetry: F-43m (216)
uncorrected energy: -26.092 eV/cell

---

2.
A plane-wave DFT calculation with PBE-GGA was carried out for KGdMgS3 after structural relaxation.

Cell lengths 10.895, 4.105, 14.202 Å; angles 90.00, 90.00, 90.00 degrees
Fractional positions:
1 S 0.914 0.750 0.380
2 S 0.414 0.750 0.120
3 S 0.236 0.250 0.312
4 Mg 0.267 0.250 0.716
5 Gd 0.484 0.250 0.239
6 S 0.960 0.250 0.866
7 S 0.736 0.250 0.188
8 S 0.540 0.750 0.366
9 Gd 0.016 0.750 0.739
10 Gd 0.984 0.250 0.261
11 K 0.220 0.250 0.993
12 S 0.264 0.750 0.812
13 S 0.460 0.250 0.634
14 Mg 0.233 0.750 0.216
15 S 0.586 0.250 0.880
16 Mg 0.767 0.250 0.784
17 Gd 0.516 0.750 0.761
18 K 0.720 0.250 0.507
19 S 0.040 0.750 0.134
20 K 0.780 0.750 0.007
21 S 0.086 0.250 0.620
22 S 0.764 0.750 0.688
23 Mg 0.733 0.750 0.284
24 K 0.280 0.750 0.493

symmetry: Pnma (62)
uncorrected energy: -118.751 eV/cell

---

3.
A plane-wave DFT calculation with PBE-GGA was carried out for SrTmSc after structural relaxation.

Cell lengths 5.547, 5.547, 5.547 Å; angles 60.00, 60.00, 60.00 degrees
Fractional positions:
1 Sc 0.000 0.000 0.000
2 Tm 0.750 0.750 0.750
3 Sr 0.250 0.250 0.250

symmetry: F-43m (216)
uncorrected energy: -10.023 eV/cell
energy above the lowest structure with this stoichiometry: 0 meV/atom

---

4.
A plane-wave DFT calculation with PBE-GGA was carried out for Rb2PrYS4 after structural relaxation.

Cell lengths 4.151, 4.151, 15.401 Å; angles 90.00, 90.00, 120.00 degrees
Fractional positions:
1 Rb 0.333 0.667 0.754
2 S 0.333 0.667 0.397
3 Pr 0.000 0.000 0.500
4 Y 0.000 0.000 0.000
5 Rb 0.667 0.333 0.246
6 S 0.667 0.333 0.603
7 S 0.667 0.333 0.906
8 S 0.333 0.667 0.094

symmetry: P-3m1 (164)
uncorrected energy: -44.313 eV/cell

---

5.
A plane-wave DFT calculation with PBE-GGA was carried out for PrGdSbF2 after structural relaxation.

Cell lengths 4.136, 4.136, 7.194 Å; angles 90.00, 90.00, 120.00 degrees
Each line ends with the local moment (μB).
Fractional positions:
1 Pr 0.333 0.667 0.263  0.10
2 F 0.333 0.667 0.608  0.01
3 Gd 0.000 0.000 0.731  0.08
4 Sb 0.667 0.333 0.988  -0.01
5 F 0.000 0.000 0.411  0.01

symmetry: P3m1 (156)
uncorrected energy: -29.728 eV/cell

---

6.
A plane-wave DFT calculation with PBE-GGA was carried out for Ac2ZnN6 after structural relaxation.

Cell lengths 4.279, 4.285, 9.227 Å; angles 90.00, 90.00, 90.00 degrees
Each line ends with the local moment (μB).
Fractional positions:
1 N 0.500 0.000 0.074  0.00
2 N 0.000 0.500 0.074  0.00
3 Ac 0.500 0.500 0.260  -0.04
4 N 0.500 0.500 0.500  -0.12
5 N 0.000 0.500 0.926  0.00
6 Zn 0.000 0.000 0.000  0.00
7 N 0.500 0.000 0.926  0.00
8 N 0.500 0.500 0.000  -0.02
9 Ac 0.500 0.500 0.740  -0.04

symmetry: P4/mmm (123)
uncorrected energy: -51.349 eV/cell

---

7.
A plane-wave DFT calculation with PBE-GGA was carried out for Fe3S after structural relaxation.

Cell lengths 4.638, 4.638, 4.638 Å; angles 135.70, 135.70, 64.45 degrees
Each line ends with the local moment (μB).
Fractional positions:
1 Fe 0.750 0.250 0.500  2.63
2 S 0.000 0.000 0.000  0.10
3 Fe 0.500 0.500 0.000  2.53
4 Fe 0.250 0.750 0.500  2.63

symmetry: I4/mmm (139)
uncorrected energy: -28.371 eV/cell

---

8.
A plane-wave DFT calculation with PBE-GGA was carried out for NpInGa after structural relaxation.

Cell lengths 4.717, 4.717, 4.717 Å; angles 60.00, 60.00, 60.00 degrees
Each line ends with the local moment (μB).
Fractional positions:
1 In 0.250 0.250 0.250  0.04
2 Np 0.750 0.750 0.750  4.19
3 Ga 0.000 0.000 0.000  0.06

symmetry: F-43m (216)
uncorrected energy: -18.118 eV/cell
energy above the lowest structure with this stoichiometry: 0 meV/atom

---

9.
A plane-wave DFT calculation with PBE-GGA was carried out for ReP4 after structural relaxation.

Cell lengths 6.102, 6.102, 6.110 Å; angles 99.67, 99.67, 129.00 degrees
Fractional positions:
1 P 0.957 0.497 0.315
2 P 0.646 0.815 0.321
3 Re 0.075 0.925 0.250
4 P 0.497 0.957 0.815
5 P 0.354 0.185 0.679
6 P 0.503 0.043 0.185
7 P 0.043 0.503 0.685
8 P 0.185 0.354 0.179
9 Re 0.925 0.075 0.750
10 P 0.815 0.646 0.821

symmetry: C2/c (15)
uncorrected energy: -70.414 eV/cell
energy above the lowest structure with this stoichiometry: 84 meV/atom

---

10.
A plane-wave DFT calculation with PBE-GGA was carried out for BaNbB after structural relaxation.

Cell lengths 4.604, 4.604, 4.604 Å; angles 60.00, 60.00, 60.00 degrees
Fractional positions:
1 B 0.250 0.250 0.250
2 Nb 0.000 0.000 0.000
3 Ba 0.750 0.750 0.750

symmetry: F-43m (216)
uncorrected energy: -13.423 eV/cell
energy above the lowest structure with this stoichiometry: 387 meV/atom

---

11.
A plane-wave DFT calculation with PBE-GGA was carried out for AsPOsO after structural relaxation.

Cell lengths 4.039, 5.799, 5.161 Å; angles 90.00, 90.00, 90.00 degrees
Fractional positions:
1 O 0.500 0.763 0.861
2 As 0.000 0.819 0.953
3 Os 0.500 0.571 0.520
4 As 0.000 0.181 0.453
5 P 0.000 0.751 0.420
6 Os 0.500 0.429 0.020
7 O 0.500 0.237 0.361
8 P 0.000 0.249 0.920

symmetry: Pmc2_1 (26)
uncorrected energy: -52.398 eV/cell
energy above the lowest structure with this stoichiometry: 167 meV/atom

---

12.
A plane-wave DFT calculation with PBE-GGA was carried out for BaAlAu after structural relaxation.

Cell lengths 5.072, 5.072, 5.072 Å; angles 60.00, 60.00, 60.00 degrees
Fractional positions:
1 Au 0.250 0.250 0.250
2 Ba 0.750 0.750 0.750
3 Al 0.000 0.000 0.000

symmetry: F-43m (216)
uncorrected energy: -8.971 eV/cell